No. 1
VASP calculation (PBE) on an optimized crystal structure of Pu2Pb2S7.

Output
The calculation puts the uncorrected formation energy at -0.888 eV/atom. The value obtained for the density of states at the Fermi level is 27.7 states/eV/cell.

abc: 4.089 15.257 8.954
angles: 90.00 90.00 90.00
Space group Imm2 (No. 44)
Symmetry-distinct sites (fractional):
Pu 0.000 0.000 0.000 [2 per cell]
Pu 0.000 0.500 0.016 [2 per cell]
Pb 0.000 0.304 0.749 [4 per cell]
S 0.000 0.112 0.497 [4 per cell]
S 0.000 0.177 0.042 [4 per cell]
S 0.000 0.432 0.317 [4 per cell]
S 0.000 0.500 0.707 [2 per cell]



No. 2
VASP calculation (PBE) on an optimized crystal structure of Nd3Cd3Ir.

Output
Its raw total energy is -4.136 eV per atom. The value obtained for the density of states at the Fermi level is 81.0 states/eV/cell.

abc: 14.556 14.556 14.556
angles: 90.00 90.00 90.00
Space group Fd-3m (No. 227, origin choice 2)
Symmetry-distinct sites (fractional):
Nd 0.082 0.375 0.375 [48 per cell]
Cd 0.000 0.000 0.500 [16 per cell]
Cd 0.044 0.044 0.706 [32 per cell]
Ir 0.000 0.000 0.000 [16 per cell]



No. 3
VASP calculation (PBE) on an optimized crystal structure of TeCI3.

Output
The calculation puts the uncorrected formation energy at 1.205 eV/atom. Its energy above the most stable polymorph in this dataset is 0.0 meV/atom. The value obtained for the density of states at the Fermi level is 3.8 states/eV/cell.

abc: 5.133 5.133 5.133
angles: 90.00 90.00 90.00
Space group Pm-3m (No. 221)
Symmetry-distinct sites (fractional):
Te 0.000 0.000 0.000 [1 per cell]
C 0.500 0.500 0.500 [1 per cell]
I 0.000 0.500 0.500 [3 per cell]



No. 4
VASP calculation (PBE) on an optimized crystal structure of Te3PbC.

Output
The calculation puts the uncorrected formation energy at 1.994 eV/atom. Its energy above the most stable polymorph in this dataset is 1230.7 meV/atom. The value obtained for the density of states at the Fermi level is 9.1 states/eV/cell.

abc: 5.906 5.906 5.906
angles: 90.00 90.00 90.00
Space group Pm-3m (No. 221)
Symmetry-distinct sites (fractional):
Te 0.000 0.000 0.500 [3 per cell]
Pb 0.000 0.000 0.000 [1 per cell]
C 0.500 0.500 0.500 [1 per cell]



No. 5
VASP calculation (PBE) on an optimized crystal structure of V2CuSb.

Output
The calculation puts the uncorrected formation energy at 1.222 eV/atom. The value obtained for the density of states at the Fermi level is 19.4 states/eV/cell.

abc: 5.717 5.717 11.068
angles: 90.00 90.00 90.00
Space group I-42d (No. 122)
Symmetry-distinct sites (fractional):
V 0.194 0.250 0.125 [8 per cell]
Cu 0.000 0.000 0.000 [4 per cell]
Sb 0.000 0.000 0.500 [4 per cell]



No. 6
VASP calculation (PBE) on an optimized crystal structure of BaHgI3.

Output
The calculation puts the uncorrected formation energy at -0.800 eV/atom. Its energy above the most stable polymorph in this dataset is 3.9 meV/atom. The value obtained for the density of states at the Fermi level is 6.2 states/eV/cell.

abc: 6.841 6.841 6.841
angles: 90.00 90.00 90.00
Space group Pm-3m (No. 221)
Symmetry-distinct sites (fractional):
Ba 0.000 0.000 0.000 [1 per cell]
Hg 0.500 0.500 0.500 [1 per cell]
I 0.000 0.000 0.500 [3 per cell]